Ca2MoHIr | the Alexandria database | PBE-GGA | optimized geometry; D(E_F) = 0.607 states/eV per atom; spin magnetization = 0.600 μB/atom; uncorrected energy = -23.553 eV per formula unit
1.0
-1.028 2.863 -4.738
-0.471 -4.071 -2.358
-5.507 -0.040 1.171
H Mo Ir Ca
1 1 1 2
Direct
0.500 0.500 0.500
0.000 0.500 0.000
0.000 0.000 0.000
0.000 0.000 0.500
0.500 0.000 0.000